1.
Below is an optimized crystal structure of Tb2DyY6Sc3, with properties calculated at the PBE-GGA level.

Summary:
As for the total magnetization: 0.0 Bohr magnetons per cell. Its space-group type is C2/m. For the uncorrected energy, the calculation gives -5.919 eV/atom.

Cell and atoms, written as POSCAR:
```
Tb2DyY6Sc3
1.0
3.035 -5.254 0.000
3.035 5.254 0.000
-2.020 0.000 11.341
Tb Dy Y Sc
2 1 6 3
Direct
0.167 0.833 0.000
0.833 0.167 0.000
0.500 0.500 0.000
0.080 0.414 0.741
0.253 0.253 0.259
0.414 0.080 0.741
0.586 0.920 0.259
0.747 0.747 0.741
0.920 0.586 0.259
0.000 0.000 0.500
0.333 0.667 0.500
0.667 0.333 0.500
```

2.
Below is an optimized crystal structure of Mg4Cd2Ga, with properties calculated at the PBE-GGA level.

Summary:
As for the total magnetization: 0.0 Bohr magnetons per cell. Its space-group type is R-3m. The calculation puts the relative energy among the computed polymorphs at 0 meV/atom. For the uncorrected energy, the calculation gives -1.650 eV/atom.

Cell and atoms, written as POSCAR:
```
Mg4Cd2Ga
1.0
2.411 1.392 7.903
-2.411 1.392 7.903
0.000 -2.784 7.903
Mg Cd Ga
4 2 1
Direct
0.122 0.122 0.122
0.373 0.373 0.373
0.627 0.627 0.627
0.878 0.878 0.878
0.251 0.251 0.251
0.749 0.749 0.749
0.500 0.500 0.500
```